Record 1
CdB2O4: optimized geometry, PBE.

POSCAR file:
```
CdB2O4
1.0
7.848 0.042 0.048
-0.878 7.799 0.048
-0.878 -0.988 7.736
B O Cd
12 24 6
Direct
0.562 0.714 0.807
0.807 0.562 0.714
0.538 0.511 0.315
0.307 0.214 0.062
0.315 0.538 0.511
0.511 0.315 0.538
0.815 0.011 0.038
0.038 0.815 0.011
0.214 0.062 0.307
0.011 0.038 0.815
0.062 0.307 0.214
0.714 0.807 0.562
0.614 0.572 0.187
0.687 0.072 0.114
0.590 0.373 0.399
0.114 0.687 0.072
0.072 0.114 0.687
0.402 0.236 0.934
0.088 0.176 0.322
0.572 0.187 0.614
0.322 0.088 0.176
0.902 0.434 0.736
0.090 0.899 0.873
0.736 0.902 0.434
0.434 0.736 0.902
0.399 0.590 0.373
0.676 0.588 0.822
0.934 0.402 0.236
0.373 0.399 0.590
0.899 0.873 0.090
0.236 0.934 0.402
0.187 0.614 0.572
0.873 0.090 0.899
0.176 0.322 0.088
0.588 0.822 0.676
0.822 0.676 0.588
0.692 0.347 0.013
0.513 0.847 0.192
0.847 0.192 0.513
0.013 0.692 0.347
0.192 0.513 0.847
0.347 0.013 0.692
```

polymorph energy (0 for the lowest one)	0.0767	eV/atom

Record 2
CdBO3: optimized geometry, PBE.

POSCAR file:
```
CdBO3
1.0
3.499 0.000 0.000
0.000 3.499 0.000
0.000 0.000 3.499
O B Cd
3 1 1
Direct
0.500 0.500 0.000
0.000 0.500 0.500
0.500 0.000 0.500
0.500 0.500 0.500
0.000 0.000 0.000
```

Record 3
CdB2O4: optimized geometry, PBE.

POSCAR file:
```
CdB2O4
1.0
-4.497 2.982 -4.874
-5.640 -6.909 0.976
-0.844 7.251 5.215
Cd O B
8 32 16
Direct
0.938 0.000 0.000
0.457 0.954 0.479
0.457 0.524 0.046
0.438 0.000 0.000
0.457 0.521 0.476
0.957 0.476 0.954
0.957 0.046 0.521
0.957 0.479 0.524
0.672 0.816 0.003
0.462 0.092 0.329
0.962 0.329 0.237
0.778 0.703 0.708
0.940 0.667 0.333
0.962 0.763 0.092
0.278 0.995 0.703
0.778 0.005 0.297
0.672 0.187 0.184
0.172 0.287 0.794
0.705 0.304 0.496
0.172 0.184 0.997
0.205 0.808 0.304
0.705 0.192 0.696
0.705 0.504 0.808
0.672 0.794 0.507
0.172 0.206 0.493
0.278 0.708 0.005
0.462 0.671 0.763
0.672 0.713 0.206
0.462 0.237 0.908
0.440 0.333 0.667
0.172 0.813 0.816
0.672 0.493 0.287
0.172 0.003 0.187
0.778 0.292 0.995
0.205 0.496 0.192
0.205 0.696 0.504
0.672 0.997 0.813
0.172 0.507 0.713
0.278 0.297 0.292
0.962 0.908 0.671
0.769 0.848 0.673
0.654 0.671 0.823
0.154 0.848 0.671
0.269 0.673 0.825
0.133 0.667 0.333
0.654 0.177 0.848
0.654 0.152 0.329
0.269 0.152 0.327
0.749 0.667 0.333
0.769 0.327 0.175
0.154 0.329 0.177
0.154 0.823 0.152
0.269 0.175 0.848
0.633 0.333 0.667
0.249 0.333 0.667
0.769 0.825 0.152
```

polymorph energy (0 for the lowest one)	0.0230	eV/atom

Record 4
CdB4O7: optimized geometry, PBE.

POSCAR file:
```
CdB4O7
1.0
-4.666 6.080 3.489
-5.605 -6.142 3.208
7.828 -0.877 11.998
O B Cd
56 32 8
Direct
0.163 0.055 0.384
0.663 0.445 0.616
0.101 0.239 0.983
0.968 0.822 0.745
0.953 0.577 0.808
0.348 0.131 0.500
0.611 0.639 0.400
0.652 0.869 0.500
0.899 0.761 0.017
0.531 0.886 0.352
0.337 0.555 0.384
0.469 0.386 0.148
0.111 0.861 0.600
0.047 0.077 0.692
0.163 0.445 0.884
0.837 0.945 0.616
0.601 0.261 0.017
0.969 0.386 0.352
0.453 0.923 0.192
0.031 0.614 0.648
0.532 0.322 0.745
0.652 0.631 0.000
0.531 0.614 0.852
0.889 0.361 0.900
0.032 0.322 0.755
0.047 0.423 0.192
0.469 0.114 0.648
0.337 0.945 0.884
0.399 0.761 0.483
0.889 0.139 0.400
0.152 0.631 0.500
0.152 0.869 0.000
0.468 0.678 0.255
0.968 0.678 0.245
0.848 0.131 0.000
0.848 0.369 0.500
0.389 0.361 0.600
0.899 0.739 0.517
0.837 0.555 0.116
0.348 0.369 0.000
0.101 0.261 0.483
0.453 0.577 0.692
0.532 0.178 0.245
0.399 0.739 0.983
0.969 0.114 0.852
0.601 0.239 0.517
0.031 0.886 0.148
0.389 0.139 0.100
0.111 0.639 0.100
0.547 0.423 0.308
0.663 0.055 0.116
0.953 0.923 0.308
0.547 0.077 0.808
0.611 0.861 0.900
0.032 0.178 0.255
0.468 0.822 0.755
0.991 0.569 0.162
0.015 0.168 0.766
0.704 0.352 0.545
0.945 0.283 0.435
0.204 0.148 0.455
0.485 0.668 0.766
0.985 0.668 0.734
0.445 0.217 0.565
0.491 0.569 0.338
0.796 0.648 0.045
0.945 0.217 0.935
0.515 0.332 0.234
0.296 0.852 0.955
0.515 0.168 0.734
0.555 0.783 0.435
0.015 0.332 0.266
0.445 0.283 0.065
0.509 0.069 0.162
0.704 0.148 0.045
0.009 0.431 0.838
0.991 0.931 0.662
0.204 0.352 0.955
0.296 0.648 0.455
0.491 0.931 0.838
0.509 0.431 0.662
0.055 0.717 0.565
0.555 0.717 0.935
0.796 0.852 0.545
0.485 0.832 0.266
0.009 0.069 0.338
0.985 0.832 0.234
0.055 0.783 0.065
0.374 0.889 0.614
0.626 0.389 0.886
0.126 0.111 0.114
0.626 0.111 0.386
0.874 0.889 0.886
0.126 0.389 0.614
0.874 0.611 0.386
0.374 0.611 0.114
```

polymorph energy (0 for the lowest one)	0.0000	eV/atom

Number 1: uncorrected formation energy -1987 meV/atom, DFT total energy -288.1 eV per cell, D(E_F) 0.000 states/eV/cell. Number 2: uncorrected formation energy -580 meV/atom, DFT total energy -25.4 eV per cell, D(E_F) 3.265 states/eV/cell. Number 3: uncorrected formation energy -2041 meV/atom, DFT total energy -387.1 eV per cell, D(E_F) 0.000 states/eV/cell. Number 4: uncorrected formation energy -2245 meV/atom, DFT total energy -714.2 eV per cell, D(E_F) 0.000 states/eV/cell.